A plane-wave DFT calculation with PBE+U was carried out for a relaxed ZrMnN2O crystal.

Cell lengths 4.114, 3.466, 4.114 Å; angles 90.00, 90.00, 90.00 degrees
Last column: magnetic moment on the atom in μB.
Atoms (fractional coordinates):
O (0.000, 0.000, 0.000)  -0.10
N (0.000, 0.000, 0.500)  0.06
Mn (0.000, 0.500, 0.000)  3.76
N (0.500, 0.000, 0.000)  -0.01
Zr (0.500, 0.500, 0.500)  -0.44

Properties
Crystal system   tetragonal
D(E_F)   2.3 states/eV/cell
Total moment   3.24 Bohr magnetons per cell
Final energy   -34.004 eV per cell
Space group   P4/mmm, No. 123